Entry 1:
The following is a PBE calculation of a relaxed structure of Rb4Er3TiS8, from Alexandria.

Unit cell a=7.9370 b=7.9370 c=22.9676 alpha=90.00 beta=90.00 gamma=120.00
Space group R-3m (No. 166, hexagonal axes)
Asymmetric unit:
Rb1 0.0000 0.0000 0.0000 [3 per cell]
Rb2 0.0000 0.5000 0.0000 [9 per cell]
Er1 0.0000 0.5000 0.5000 [9 per cell]
Ti1 0.0000 0.0000 0.5000 [3 per cell]
S1 0.0000 0.0000 0.2309 [6 per cell]
S2 0.0162 0.5081 0.2285 [18 per cell]

Values from the calculation:
energy relative to the elements, uncorrected: -1.68 eV per atom

---

Entry 2:
The following is a PBE calculation of a relaxed structure of Ba2MgOsO6, from Alexandria.

Unit cell a=8.1744 b=8.1744 c=8.1744 alpha=90.00 beta=90.00 gamma=90.00
Space group Fm-3m (No. 225)
Asymmetric unit:
Ba1 0.2500 0.2500 0.2500 [8 per cell]
Mg1 0.0000 0.0000 0.0000 [4 per cell]
Os1 0.0000 0.0000 0.5000 [4 per cell]
O1 0.0000 0.0000 0.2605 [24 per cell]

Values from the calculation:
energy relative to the elements, uncorrected: -2.18 eV per atom

---

Entry 3:
The following is a PBE calculation of a relaxed structure of Ce4I5N, from Alexandria.

Unit cell a=19.1519 b=4.0370 c=8.8059 alpha=90.00 beta=102.98 gamma=90.00
Space group C2/m (No. 12)
Asymmetric unit:
Ce1 0.0022 0.0000 0.3096 [4 per cell]
Ce2 0.1298 0.5000 0.5636 [4 per cell]
I1 0.0000 0.5000 0.0000 [2 per cell]
I2 0.1648 0.0000 0.8475 [4 per cell]
I3 0.1728 0.0000 0.3174 [4 per cell]
N1 0.0000 0.5000 0.5000 [2 per cell]

Values from the calculation:
energy relative to the elements, uncorrected: -1.21 eV per atom

---

Entry 4:
The following is a PBE calculation of a relaxed structure of TbSm2Se4, from Alexandria.

Unit cell a=4.0150 b=13.7681 c=13.9981 alpha=90.00 beta=90.00 gamma=90.00
Space group Cmcm (No. 63)
Asymmetric unit:
Tb1 0.0000 0.1276 0.2500 [4 per cell]
Sm1 0.0000 0.3700 0.0707 [8 per cell]
Se1 0.0000 0.0000 0.0000 [4 per cell]
Se2 0.0000 0.2789 0.6243 [8 per cell]
Se3 0.0000 0.4761 0.2500 [4 per cell]

Values from the calculation:
energy relative to the elements, uncorrected: -1.84 eV per atom
offset from the most stable computed form: 41 meV/atom

---

Entry 5:
The following is a PBE calculation of a relaxed structure of SrCa3S, from Alexandria.

Unit cell a=5.7224 b=5.7224 c=5.7224 alpha=90.00 beta=90.00 gamma=90.00
Space group Pm-3m (No. 221)
Asymmetric unit:
Sr1 0.0000 0.0000 0.0000 [1 per cell]
Ca1 0.0000 0.5000 0.5000 [3 per cell]
S1 0.5000 0.5000 0.5000 [1 per cell]

Values from the calculation:
energy relative to the elements, uncorrected: -0.70 eV per atom
offset from the most stable computed form: 0 meV/atom

---

Entry 6:
The following is a PBE calculation of a relaxed structure of NaCaTa2, from Alexandria.

Unit cell a=7.0957 b=7.0957 c=7.0957 alpha=90.00 beta=90.00 gamma=90.00
Space group Fm-3m (No. 225)
Asymmetric unit:
Na1 0.0000 0.0000 0.0000 [4 per cell]
Ca1 0.0000 0.0000 0.5000 [4 per cell]
Ta1 0.2500 0.2500 0.2500 [8 per cell]

Values from the calculation:
offset from the most stable computed form: 504 meV/atom
formation enthalpy at 0 K: 6.25 eV/f.u.

---

Entry 7:
The following is a PBE calculation of a relaxed structure of NdTmSc2Tl4, from Alexandria.

Unit cell a=5.2644 b=5.2644 c=25.9099 alpha=90.00 beta=90.00 gamma=120.00
Space group R-3m (No. 166, hexagonal axes)
Asymmetric unit:
Nd1 0.0000 0.0000 0.0000 [3 per cell]
Tm1 0.0000 0.0000 0.5000 [3 per cell]
Sc1 0.0000 0.0000 0.2494 [6 per cell]
Tl1 0.0000 0.0000 0.1272 [6 per cell]
Tl2 0.0000 0.0000 0.3775 [6 per cell]

Values from the calculation:
formation enthalpy at 0 K: -2.28 eV/f.u.

---

Entry 8:
The following is a PBE calculation of a relaxed structure of NdDyGa5Pt2, from Alexandria.

Unit cell a=4.7605 b=4.7605 c=9.1788 alpha=90.00 beta=90.00 gamma=90.00
Space group P4/mmm (No. 123)
Asymmetric unit:
Nd1 0.0000 0.0000 0.0000 [1 per cell]
Dy1 0.0000 0.0000 0.5000 [1 per cell]
Ga1 0.0000 0.5000 0.2991 [4 per cell]
Ga2 0.5000 0.5000 0.0000 [1 per cell]
Pt1 0.5000 0.5000 0.2530 [2 per cell]

Values from the calculation:
formation enthalpy at 0 K: -3.48 eV/f.u.

---

| no. | calculated density (Mg/m³) |
| --- | --- |
| 1 | 4.564 |
| 2 | 7.116 |
| 3 | 6.052 |
| 4 | 6.657 |
| 5 | 2.126 |
| 6 | 7.901 |
| 7 | 9.778 |
| 8 | 8.346 |